No. 1
Na4U3SiN8 | PBE-GGA | optimized geometry

abc: 6.523 6.760 6.954
angles: 117.83 117.97 90.00
Last column: magnetic moment on the atom in μB.
Sites, in units of the cell vectors:
N1 0.758 0.657 0.940  -0.03
N2 0.818 0.343 0.060  -0.03
N3 0.283 0.313 0.567  -0.04
N4 0.276 0.726 0.552  -0.03
N5 0.242 0.343 0.060  -0.03
N6 0.724 0.274 0.448  -0.03
N7 0.717 0.687 0.433  -0.04
N8 0.182 0.657 0.940  -0.03
Na1 0.500 0.000 0.000  0.00
Na2 0.000 0.000 0.000  0.00
Na3 0.000 0.000 0.500  0.00
Na4 0.500 0.000 0.500  0.00
U1 0.500 0.500 0.000  0.91
U2 0.500 0.500 0.500  0.65
U3 0.000 0.500 0.500  0.65
Si1 0.000 0.500 0.000  0.01

Calculated values
Raw formation energy (kJ/mol of formula units): -1201.1
Symmetry: C2/m (12)



No. 2
PmPuN | PBE-GGA | optimized geometry

abc: 6.234 3.493 3.493
angles: 120.00 90.00 90.00
Last column: magnetic moment on the atom in μB.
Sites, in units of the cell vectors:
N1 0.013 0.000 0.000  -0.10
Pm1 0.768 0.333 0.667  0.14
Pu1 0.219 0.667 0.333  5.28

Calculated values
Raw formation energy (kJ/mol of formula units): -220.2
Symmetry: P3m1 (156)



Q: Which value of raw formation energy does entry 1 give?
A: -1201.1 kJ/mol of formula units